1.
Material: NaSiW3
Method: DFT, PBE
State: relaxed

```
5
Lattice="4.596 0.000 0.000 0.000 4.596 0.000 0.000 0.000 4.596" Properties=species:S:1:pos:R:3 pbc="T T T"
Si 0.000 0.000 0.000
Na 2.298 2.298 2.298
W 0.000 2.298 0.000
W 2.298 0.000 0.000
W 0.000 0.000 2.298
```

energy = -37.7 eV per formula unit
N(E_F) = 1.535 states/eV/atom
size of the total moment = 0.0 μB per formula unit
symmetry = Pm-3m (221)
ΔE_f (raw) = 1.5817 eV per atom

---

2.
Material: NaSiW
Method: DFT, PBE
State: relaxed

```
6
Lattice="2.761 0.003 -0.002 -0.108 4.382 -0.006 -0.511 -1.920 11.087" Properties=species:S:1:pos:R:3 pbc="T T T"
Na 2.465 -0.373 3.872
Na 1.006 1.818 6.760
Si 0.975 -0.712 9.599
Si 2.500 2.114 1.034
W 1.146 -0.068 0.884
W -0.432 1.467 9.749
```

energy = -18.8 eV per formula unit
N(E_F) = 0.393 states/eV/atom
size of the total moment = 0.0 μB per formula unit
symmetry = P1 (1)
ΔE_f (raw) = 0.2885 eV per atom

---

3.
Material: NaYSi
Method: DFT, PBE
State: relaxed

```
6
Lattice="5.263 -3.039 0.000 0.000 6.077 0.000 0.000 0.000 10.537" Properties=species:S:1:pos:R:3 pbc="T T T"
Y 0.000 0.000 7.903
Y 0.000 0.000 2.634
Na 1.754 3.039 2.634
Na 3.509 0.000 7.903
Si 0.000 0.000 5.268
Si 0.000 0.000 0.000
```

energy = -9.6 eV per formula unit
N(E_F) = 1.996 states/eV/atom
size of the total moment = 0.0 μB per formula unit
symmetry = P6_3/mmc (194)
ΔE_f (raw) = 1.2176 eV per atom

---

4.
Material: NaYSi4
Method: DFT, PBE
State: relaxed

```
6
Lattice="-3.383 -3.717 -1.689 1.758 -4.043 -2.945 0.191 -4.886 2.049" Properties=species:S:1:pos:R:3 pbc="T T T"
Y -0.358 -3.161 -0.646
Si 0.819 -6.041 -0.763
Si -1.791 -5.875 -0.125
Si -0.996 -5.447 -2.661
Si -0.899 -7.928 -1.621
Na 0.000 0.000 0.000
```

energy = -30.6 eV per formula unit
N(E_F) = 0.227 states/eV/atom
size of the total moment = 0.0 μB per formula unit
symmetry = F-43m (216)
ΔE_f (raw) = -0.1889 eV per atom

---

5.
Material: Na2YSi2
Method: DFT, PBE
State: relaxed

```
10
Lattice="7.306 0.000 0.000 0.000 7.306 0.000 0.000 0.000 4.781" Properties=species:S:1:pos:R:3 pbc="T T T"
Si 0.817 2.836 0.000
Si 2.836 6.489 0.000
Si 6.489 4.470 0.000
Si 4.470 0.817 0.000
Na 2.406 1.246 2.390
Na 6.059 2.406 2.390
Na 4.899 6.059 2.390
Na 1.246 4.899 2.390
Y 0.000 0.000 0.000
Y 3.653 3.653 0.000
```

energy = -19.9 eV per formula unit
N(E_F) = 0.717 states/eV/atom
size of the total moment = 0.0 μB per formula unit
symmetry = P4/mbm (127)
ΔE_f (raw) = 0.0117 eV per atom

---

6.
Material: NaYSi
Method: DFT, PBE
State: relaxed

```
3
Lattice="-0.202 1.487 4.615 -4.180 -0.257 2.451 -0.522 -3.241 3.573" Properties=species:S:1:pos:R:3 pbc="T T T"
Na -1.226 -0.503 2.660
Y 0.000 0.000 0.000
Si -3.678 -1.509 7.979
```

energy = -12.7 eV per formula unit
N(E_F) = 0.000 states/eV/atom
size of the total moment = 0.0 μB per formula unit
symmetry = F-43m (216)
ΔE_f (raw) = 0.1832 eV per atom

---

7.
Material: NaYSi
Method: DFT, PBE
State: relaxed

```
6
Lattice="-0.362 -1.265 4.041 3.154 -2.069 -0.365 5.589 8.361 0.903" Properties=species:S:1:pos:R:3 pbc="T T T"
Si 4.369 0.750 3.988
Si 4.012 4.277 0.590
Na 2.636 -1.727 3.051
Na 5.745 6.754 1.527
Y 5.787 3.151 2.633
Y 2.594 1.876 1.946
```

energy = -14.4 eV per formula unit
N(E_F) = 0.824 states/eV/atom
size of the total moment = 0.0 μB per formula unit
symmetry = P2_1/m (11)
ΔE_f (raw) = -0.3818 eV per atom

---

8.
Material: NaYSi
Method: DFT, PBE
State: relaxed

```
12
Lattice="8.615 0.000 0.000 0.000 7.547 0.000 0.000 0.000 4.974" Properties=species:S:1:pos:R:3 pbc="T T T"
Y 0.000 0.000 0.000
Y 4.308 0.000 2.487
Y 0.000 3.773 0.000
Y 4.308 3.773 2.487
Si 5.744 5.660 4.973
Si 1.436 5.660 2.488
Si 7.179 1.887 2.486
Si 2.872 1.887 0.001
Na 5.743 1.887 4.973
Na 2.872 5.660 0.001
Na 1.435 1.887 2.488
Na 7.180 5.660 2.486
```

energy = -13.5 eV per formula unit
N(E_F) = 0.129 states/eV/atom
size of the total moment = 0.0 μB per formula unit
symmetry = P6_3/mmc (194)
ΔE_f (raw) = -0.0915 eV per atom

---

Q: Look up the N(E_F) of the second one.
A: 0.393 states/eV/atom

---

Q: What is the size of the total moment in the sixth record?
A: 0.0 μB per formula unit

---

Please write out number 3 again, unchanged.
Material: NaYSi
Method: DFT, PBE
State: relaxed

```
6
Lattice="5.263 -3.039 0.000 0.000 6.077 0.000 0.000 0.000 10.537" Properties=species:S:1:pos:R:3 pbc="T T T"
Y 0.000 0.000 7.903
Y 0.000 0.000 2.634
Na 1.754 3.039 2.634
Na 3.509 0.000 7.903
Si 0.000 0.000 5.268
Si 0.000 0.000 0.000
```

energy = -9.6 eV per formula unit
N(E_F) = 1.996 states/eV/atom
size of the total moment = 0.0 μB per formula unit
symmetry = P6_3/mmc (194)
ΔE_f (raw) = 1.2176 eV per atom